This record from Alexandria via LeMat-Bulk describes crystalline Ag2Ir at its relaxed geometry. The functional is PBE.

## Properties
Its crystal system is cubic. As for the energy relative to the lowest polymorph listed for this composition: 570 meV per atom. Its space group is No. 227. The calculation puts the total energy at -4.025 eV/atom.

Cell and atoms, written as POSCAR:
```
Ag2Ir
1.0
0.000 3.722 3.722
3.722 0.000 3.722
3.722 3.722 0.000
Ag Ir
4 2
Direct
0.125 0.125 0.125
0.125 0.125 0.625
0.625 0.125 0.125
0.125 0.625 0.125
0.750 0.750 0.750
0.500 0.500 0.500
```